# 1
# Mg2ScNi (GGA-PBE, relaxed)
data_Mg2ScNi
_chemical_formula_sum 'Mg2 Sc1 Ni1'
_cell_length_a 5.318
_cell_length_b 5.318
_cell_length_c 5.318
_cell_angle_alpha 134.83
_cell_angle_beta 134.83
_cell_angle_gamma 65.79
_space_group_name_H-M_alt 'P 1'
_space_group_IT_number 1
loop_
_space_group_symop_operation_xyz
'x,y,z'
loop_
_atom_site_label
_atom_site_fract_x
_atom_site_fract_y
_atom_site_fract_z
_atom_site_occupancy
Mg1 0.000 0.000 0.000 1
Mg2 0.500 0.500 0.000 1
Ni1 0.250 0.750 0.500 1
Sc1 0.750 0.250 0.500 1
# - E_form: -0.02 eV/f.u.
# - SG: I4/mmm


# 2
# Ce3In2Ga7 (GGA-PBE, relaxed)
data_Ce3In2Ga7
_chemical_formula_sum 'Ce3 In2 Ga7'
_cell_length_a 4.414
_cell_length_b 4.414
_cell_length_c 14.665
_cell_angle_alpha 98.66
_cell_angle_beta 98.66
_cell_angle_gamma 90.00
_space_group_name_H-M_alt 'P 1'
_space_group_IT_number 1
loop_
_space_group_symop_operation_xyz
'x,y,z'
loop_
_atom_site_label
_atom_site_fract_x
_atom_site_fract_y
_atom_site_fract_z
_atom_site_occupancy
Ce1 0.343 0.343 0.686 1
Ce2 0.657 0.657 0.314 1
Ce3 0.500 0.500 0.000 1
Ga1 0.762 0.762 0.525 1
Ga2 0.925 0.425 0.849 1
Ga3 0.575 0.075 0.151 1
Ga4 0.238 0.238 0.475 1
Ga5 0.000 0.000 0.000 1
Ga6 0.075 0.575 0.151 1
Ga7 0.425 0.925 0.849 1
In1 0.858 0.858 0.717 1
In2 0.142 0.142 0.283 1
# - E_form: -3.81 eV/f.u.
# - SG: I4/mmm


# 3
# ZrTcMo2 (GGA-PBE, relaxed)
data_ZrTcMo2
_chemical_formula_sum 'Zr1 Tc1 Mo2'
_cell_length_a 4.560
_cell_length_b 4.560
_cell_length_c 3.222
_cell_angle_alpha 90.00
_cell_angle_beta 90.00
_cell_angle_gamma 90.00
_space_group_name_H-M_alt 'P 1'
_space_group_IT_number 1
loop_
_space_group_symop_operation_xyz
'x,y,z'
loop_
_atom_site_label
_atom_site_fract_x
_atom_site_fract_y
_atom_site_fract_z
_atom_site_occupancy
Mo1 0.500 0.500 0.000 1
Mo2 0.000 0.000 0.000 1
Tc1 0.500 0.000 0.500 1
Zr1 0.000 0.500 0.500 1
# - E_form: 0.02 eV/f.u.
# - Energy above the lowest structure with this stoichiometry: 0.1255 eV/atom
# - SG: P4/mmm


# 4
# Pr2TeI3 (GGA-PBE, relaxed)
data_Pr2TeI3
_chemical_formula_sum 'Pr4 Te2 I6'
_cell_length_a 4.532
_cell_length_b 9.921
_cell_length_c 11.711
_cell_angle_alpha 80.03
_cell_angle_beta 78.84
_cell_angle_gamma 76.80
_space_group_name_H-M_alt 'P 1'
_space_group_IT_number 1
loop_
_space_group_symop_operation_xyz
'x,y,z'
loop_
_atom_site_label
_atom_site_fract_x
_atom_site_fract_y
_atom_site_fract_z
_atom_site_occupancy
I1 0.758 0.872 0.612 1
I2 0.949 0.853 0.249 1
I3 0.051 0.147 0.751 1
I4 0.351 0.268 0.030 1
I5 0.649 0.732 0.970 1
I6 0.242 0.128 0.388 1
Pr1 0.604 0.240 0.553 1
Pr2 0.396 0.760 0.447 1
Pr3 0.153 0.560 0.134 1
Pr4 0.847 0.440 0.866 1
Te1 0.405 0.519 0.671 1
Te2 0.595 0.481 0.329 1
# - Energy above the lowest structure with this stoichiometry: 0.0231 eV/atom
# - SG: C2/m


# 5
# Pb2Au (GGA-PBE, relaxed)
data_Pb2Au
_chemical_formula_sum 'Pb4 Au2'
_cell_length_a 13.938
_cell_length_b 13.938
_cell_length_c 13.938
_cell_angle_alpha 165.56
_cell_angle_beta 165.56
_cell_angle_gamma 20.47
_space_group_name_H-M_alt 'P 1'
_space_group_IT_number 1
loop_
_space_group_symop_operation_xyz
'x,y,z'
loop_
_atom_site_label
_atom_site_fract_x
_atom_site_fract_y
_atom_site_fract_z
_atom_site_occupancy
Pb1 0.433 0.433 0.000 1
Pb2 0.683 0.183 0.500 1
Pb3 0.817 0.317 0.500 1
Pb4 0.567 0.567 0.000 1
Au1 0.250 0.750 0.500 1
Au2 0.000 0.000 0.000 1
# - E_form: -0.04 eV/f.u.
# - SG: I4_1/amd


# 6
# BeTcOs3 (GGA-PBE, relaxed)
data_BeTcOs3
_chemical_formula_sum 'Be1 Tc1 Os3'
_cell_length_a 4.641
_cell_length_b 4.641
_cell_length_c 4.641
_cell_angle_alpha 90.00
_cell_angle_beta 90.00
_cell_angle_gamma 90.00
_space_group_name_H-M_alt 'P 1'
_space_group_IT_number 1
loop_
_space_group_symop_operation_xyz
'x,y,z'
loop_
_atom_site_label
_atom_site_fract_x
_atom_site_fract_y
_atom_site_fract_z
_atom_site_occupancy
Os1 0.000 0.500 0.000 1
Os2 0.500 0.000 0.000 1
Os3 0.000 0.000 0.500 1
Be1 0.500 0.500 0.500 1
Tc1 0.000 0.000 0.000 1
# - E_form: 12.46 eV/f.u.
# - Energy above the lowest structure with this stoichiometry: 1.8656 eV/atom
# - SG: Pm-3m


# 7
# CaCrTeN2 (GGA-PBE, relaxed)
data_CaCrTeN2
_chemical_formula_sum 'Ca1 Cr1 Te1 N2'
_cell_length_a 3.982
_cell_length_b 3.982
_cell_length_c 5.599
_cell_angle_alpha 90.00
_cell_angle_beta 90.00
_cell_angle_gamma 90.00
_space_group_name_H-M_alt 'P 1'
_space_group_IT_number 1
loop_
_space_group_symop_operation_xyz
'x,y,z'
loop_
_atom_site_label
_atom_site_fract_x
_atom_site_fract_y
_atom_site_fract_z
_atom_site_occupancy
N1 0.500 0.000 0.000 1
N2 0.000 0.500 0.000 1
Ca1 0.500 0.500 0.500 1
Cr1 0.000 0.000 0.000 1
Te1 0.000 0.000 0.500 1
# - Energy above the lowest structure with this stoichiometry: 0.0000 eV/atom
# - SG: P4/mmm


# 8
# Nd2MgGa2Pd5 (GGA-PBE, relaxed)
data_Nd2MgGa2Pd5
_chemical_formula_sum 'Nd4 Mg2 Ga4 Pd10'
_cell_length_a 3.709
_cell_length_b 10.157
_cell_length_c 10.157
_cell_angle_alpha 90.00
_cell_angle_beta 90.00
_cell_angle_gamma 90.00
_space_group_name_H-M_alt 'P 1'
_space_group_IT_number 1
loop_
_space_group_symop_operation_xyz
'x,y,z'
loop_
_atom_site_label
_atom_site_fract_x
_atom_site_fract_y
_atom_site_fract_z
_atom_site_occupancy
Nd1 0.000 0.177 0.323 1
Nd2 0.000 0.823 0.677 1
Nd3 0.000 0.323 0.823 1
Nd4 0.000 0.677 0.177 1
Pd1 0.500 0.209 0.062 1
Pd2 0.500 0.000 0.500 1
Pd3 0.500 0.291 0.562 1
Pd4 0.500 0.709 0.438 1
Pd5 0.500 0.500 0.000 1
Pd6 0.500 0.791 0.938 1
Pd7 0.500 0.438 0.291 1
Pd8 0.500 0.938 0.209 1
Pd9 0.500 0.062 0.791 1
Pd10 0.500 0.562 0.709 1
Ga1 0.000 0.879 0.379 1
Ga2 0.000 0.621 0.879 1
Ga3 0.000 0.121 0.621 1
Ga4 0.000 0.379 0.121 1
Mg1 0.000 0.500 0.500 1
Mg2 0.000 0.000 0.000 1
# - E_form: -7.04 eV/f.u.
# - SG: P4/mbm


# 9
# Sr2SmGa3Pd4 (GGA-PBE, relaxed)
data_Sr2SmGa3Pd4
_chemical_formula_sum 'Sr2 Sm1 Ga3 Pd4'
_cell_length_a 4.449
_cell_length_b 4.449
_cell_length_c 11.249
_cell_angle_alpha 90.00
_cell_angle_beta 90.00
_cell_angle_gamma 90.00
_space_group_name_H-M_alt 'P 1'
_space_group_IT_number 1
loop_
_space_group_symop_operation_xyz
'x,y,z'
loop_
_atom_site_label
_atom_site_fract_x
_atom_site_fract_y
_atom_site_fract_z
_atom_site_occupancy
Ga1 0.500 0.000 0.886 1
Ga2 0.000 0.000 0.500 1
Ga3 0.000 0.500 0.114 1
Sr1 0.500 0.000 0.226 1
Sr2 0.000 0.500 0.774 1
Sm1 0.500 0.500 0.500 1
Pd1 0.500 0.500 0.000 1
Pd2 0.000 0.500 0.342 1
Pd3 0.000 0.000 0.000 1
Pd4 0.500 0.000 0.658 1
# - E_form: -7.12 eV/f.u.
# - SG: P-4m2


# 10
# CdIn2W (GGA-PBE, relaxed)
data_CdIn2W
_chemical_formula_sum 'Cd1 In2 W1'
_cell_length_a 2.950
_cell_length_b 2.950
_cell_length_c 9.843
_cell_angle_alpha 90.00
_cell_angle_beta 90.00
_cell_angle_gamma 92.45
_space_group_name_H-M_alt 'P 1'
_space_group_IT_number 1
loop_
_space_group_symop_operation_xyz
'x,y,z'
loop_
_atom_site_label
_atom_site_fract_x
_atom_site_fract_y
_atom_site_fract_z
_atom_site_occupancy
In1 0.000 0.000 0.992 1
In2 0.500 0.500 0.280 1
Cd1 0.500 0.500 0.723 1
W1 0.000 0.000 0.505 1
# - E_form: 1.97 eV/f.u.
# - SG: Cmm2


# 11
# ErLu2Be (GGA-PBE, relaxed)
data_ErLu2Be
_chemical_formula_sum 'Er1 Lu2 Be1'
_cell_length_a 3.362
_cell_length_b 3.362
_cell_length_c 11.349
_cell_angle_alpha 81.48
_cell_angle_beta 81.48
_cell_angle_gamma 60.00
_space_group_name_H-M_alt 'P 1'
_space_group_IT_number 1
loop_
_space_group_symop_operation_xyz
'x,y,z'
loop_
_atom_site_label
_atom_site_fract_x
_atom_site_fract_y
_atom_site_fract_z
_atom_site_occupancy
Lu1 0.916 0.916 0.253 1
Lu2 0.084 0.084 0.747 1
Er1 0.500 0.500 0.500 1
Be1 0.000 0.000 0.000 1
# - E_form: 2.70 eV/f.u.
# - Energy above the lowest structure with this stoichiometry: 0.6269 eV/atom
# - SG: R-3m


# 12
# MgMn2Cu (GGA-PBE, relaxed)
data_MgMn2Cu
_chemical_formula_sum 'Mg1 Mn2 Cu1'
_cell_length_a 5.186
_cell_length_b 5.186
_cell_length_c 4.400
_cell_angle_alpha 65.08
_cell_angle_beta 65.08
_cell_angle_gamma 33.99
_space_group_name_H-M_alt 'P 1'
_space_group_IT_number 1
loop_
_space_group_symop_operation_xyz
'x,y,z'
loop_
_atom_site_label
_atom_site_fract_x
_atom_site_fract_y
_atom_site_fract_z
_atom_site_occupancy
Mn1 0.020 0.020 0.980 1
Mn2 0.480 0.480 0.520 1
Mg1 0.250 0.250 0.250 1
Cu1 0.750 0.750 0.750 1
# - E_form: 1.07 eV/f.u.
# - SG: C2/m